Entry 1:
# PBE-GGA AlTl2Br5, optimized geometry
data_AlTl2Br5
_chemical_formula_sum 'Al4 Tl8 Br20'
_cell_length_a 10.414
_cell_length_b 9.761
_cell_length_c 13.530
_cell_angle_alpha 90.00
_cell_angle_beta 108.01
_cell_angle_gamma 90.00
_space_group_name_H-M_alt 'P 1'
_space_group_IT_number 1
loop_
_space_group_symop_operation_xyz
'x,y,z'
loop_
_atom_site_label
_atom_site_type_symbol
_atom_site_fract_x
_atom_site_fract_y
_atom_site_fract_z
_atom_site_occupancy
Al1 Al 0.513 0.426 0.297 1
Al2 Al 0.013 0.074 0.297 1
Al3 Al 0.987 0.926 0.703 1
Al4 Al 0.487 0.574 0.703 1
Tl1 Tl 0.703 0.878 0.023 1
Tl2 Tl 0.203 0.622 0.023 1
Tl3 Tl 0.519 0.861 0.346 1
Tl4 Tl 0.019 0.639 0.346 1
Tl5 Tl 0.981 0.361 0.654 1
Tl6 Tl 0.481 0.139 0.654 1
Tl7 Tl 0.797 0.378 0.977 1
Tl8 Tl 0.297 0.122 0.977 1
Br1 Br 0.006 0.116 0.127 1
Br2 Br 0.947 0.642 0.109 1
Br3 Br 0.506 0.384 0.127 1
Br4 Br 0.447 0.858 0.109 1
Br5 Br 0.826 0.937 0.294 1
Br6 Br 0.007 0.275 0.386 1
Br7 Br 0.326 0.563 0.294 1
Br8 Br 0.703 0.557 0.384 1
Br9 Br 0.507 0.225 0.386 1
Br10 Br 0.203 0.943 0.384 1
Br11 Br 0.797 0.057 0.616 1
Br12 Br 0.493 0.775 0.614 1
Br13 Br 0.297 0.443 0.616 1
Br14 Br 0.674 0.437 0.706 1
Br15 Br 0.993 0.725 0.614 1
Br16 Br 0.174 0.063 0.706 1
Br17 Br 0.553 0.142 0.891 1
Br18 Br 0.494 0.616 0.873 1
Br19 Br 0.053 0.358 0.891 1
Br20 Br 0.994 0.884 0.873 1
# symmetry	P2_1/c, No. 14
# size of the total moment	0.00	μB/f.u.
# energy relative to the elements, uncorrected	-1.016	eV per atom
# energy above the most stable polymorph in this dataset	0	meV per atom
# V	40.87	Å³/atom

=====

Entry 2:
# PBE-GGA AlTlBr5, optimized geometry
data_AlTlBr5
_chemical_formula_sum 'Al2 Tl2 Br10'
_cell_length_a 7.685
_cell_length_b 7.685
_cell_length_c 10.780
_cell_angle_alpha 69.73
_cell_angle_beta 69.73
_cell_angle_gamma 86.56
_space_group_name_H-M_alt 'P 1'
_space_group_IT_number 1
loop_
_space_group_symop_operation_xyz
'x,y,z'
loop_
_atom_site_label
_atom_site_type_symbol
_atom_site_fract_x
_atom_site_fract_y
_atom_site_fract_z
_atom_site_occupancy
Al1 Al 0.411 0.589 0.750 1
Al2 Al 0.589 0.411 0.250 1
Tl1 Tl 0.000 0.000 0.500 1
Tl2 Tl 0.000 0.000 0.000 1
Br1 Br 0.307 0.720 0.561 1
Br2 Br 0.366 0.264 0.832 1
Br3 Br 0.937 0.063 0.750 1
Br4 Br 0.280 0.693 0.939 1
Br5 Br 0.720 0.307 0.061 1
Br6 Br 0.736 0.634 0.668 1
Br7 Br 0.264 0.366 0.332 1
Br8 Br 0.063 0.937 0.250 1
Br9 Br 0.634 0.736 0.168 1
Br10 Br 0.693 0.280 0.439 1
# symmetry	C2/c, No. 15
# size of the total moment	0.00	μB/f.u.
# energy relative to the elements, uncorrected	-0.860	eV per atom
# V	39.92	Å³/atom

=====

Entry 3:
# PBE-GGA AlTlBr2, optimized geometry
data_AlTlBr2
_chemical_formula_sum 'Al1 Tl1 Br2'
_cell_length_a 10.122
_cell_length_b 10.122
_cell_length_c 10.122
_cell_angle_alpha 22.14
_cell_angle_beta 22.14
_cell_angle_gamma 22.14
_space_group_name_H-M_alt 'P 1'
_space_group_IT_number 1
loop_
_space_group_symop_operation_xyz
'x,y,z'
loop_
_atom_site_label
_atom_site_type_symbol
_atom_site_fract_x
_atom_site_fract_y
_atom_site_fract_z
_atom_site_occupancy
Tl1 Tl 0.000 0.000 0.000 1
Al1 Al 0.500 0.500 0.500 1
Br1 Br 0.891 0.891 0.891 1
Br2 Br 0.109 0.109 0.109 1
# symmetry	R-3m, No. 166
# size of the total moment	0.00	μB/f.u.
# energy relative to the elements, uncorrected	-0.340	eV per atom
# energy above the most stable polymorph in this dataset	227	meV per atom
# V	32.29	Å³/atom